Here is Ho3UFe3 after structural relaxation from the Alexandria database. Energies are from PBE.

Cell: 6.9925 7.4967 7.0820 Å, 121.96 100.10 70.66°
Sites, in units of the cell vectors:
Fe 0.7456 0.1835 0.7721
Fe 0.2544 0.8165 0.2279
Fe 0.2544 0.5886 0.7721
Fe 0.7198 0.0037 0.0000
Fe 0.2802 0.9963 0.0000
Fe 0.7456 0.4114 0.2279
U 0.0025 0.2167 0.0000
U 0.9975 0.7833 0.0000
Ho 0.0000 0.7411 0.4822
Ho 0.3878 0.3424 0.0000
Ho 0.6122 0.6576 0.0000
Ho 0.5000 0.2105 0.4210
Ho 0.5000 0.7895 0.5790
Ho 0.0000 0.2589 0.5178

Calculated values
Magnetic moment, Bohr magnetons per cell: 0.00
Calculated formation energy, eV/atom: -0.10
Energy, eV/atom: -7.2985
Space-group type: No. 12
ρ, kg/m³: 10061